No. 1
# CaCdTe2 (GGA-PBE, optimized geometry)
data_CaCdTe2
_chemical_formula_sum 'Ca4 Cd4 Te8'
_cell_length_a 7.761
_cell_length_b 7.761
_cell_length_c 7.761
_cell_angle_alpha 90.00
_cell_angle_beta 90.00
_cell_angle_gamma 90.00
_symmetry_space_group_name_H-M 'F -4 3 m'
_symmetry_Int_Tables_number 216
_symmetry_space_group_name_Hall 'F -4 2 3'
loop_
_atom_site_label
_atom_site_type_symbol
_atom_site_fract_x
_atom_site_fract_y
_atom_site_fract_z
_atom_site_occupancy
Ca1 Ca 0.000 0.000 0.000 1
Cd1 Cd 0.250 0.250 0.250 1
Te1 Te 0.000 0.000 0.500 1
Te2 Te 0.250 0.250 0.750 1
# - energy (eV per atom) = -2.666
# - formation energy without anion corrections (meV per atom) = -366
# - crystal system = cubic



No. 2
# CaCdTe (GGA-PBE, optimized geometry)
data_CaCdTe
_chemical_formula_sum 'Ca1 Cd1 Te1'
_cell_length_a 4.4425
_cell_length_b 4.4425
_cell_length_c 5.8051
_cell_angle_alpha 90.00
_cell_angle_beta 90.00
_cell_angle_gamma 120.00
_symmetry_space_group_name_H-M 'P 3 m 1'
_symmetry_Int_Tables_number 156
loop_
_symmetry_equiv_pos_as_xyz
'x,y,z'
'-y,x-y,z'
'-x+y,-x,z'
'-y,-x,z'
'-x+y,y,z'
'x,x-y,z'
loop_
_atom_site_label
_atom_site_type_symbol
_atom_site_fract_x
_atom_site_fract_y
_atom_site_fract_z
_atom_site_occupancy
Ca1 Ca 0.0000 0.0000 0.0000 1
Cd1 Cd 0.6667 0.3333 0.3853 1
Te1 Te 0.3333 0.6667 0.6963 1
# - energy (eV per atom) = -2.765
# - formation energy without anion corrections (meV per atom) = -745
# - distance to the lowest polymorph of the same formula (eV/atom) = 0.0458
# - crystal system = trigonal



No. 3
# CaCdTe (GGA-PBE, optimized geometry)
data_CaCdTe
_chemical_formula_sum 'Ca4 Cd4 Te4'
_cell_length_a 7.441
_cell_length_b 7.441
_cell_length_c 7.441
_cell_angle_alpha 90.00
_cell_angle_beta 90.00
_cell_angle_gamma 90.00
_symmetry_space_group_name_H-M 'F -4 3 m'
_symmetry_Int_Tables_number 216
_symmetry_space_group_name_Hall 'F -4 2 3'
loop_
_atom_site_label
_atom_site_type_symbol
_atom_site_fract_x
_atom_site_fract_y
_atom_site_fract_z
_atom_site_occupancy
Ca1 Ca 0.000 0.000 0.000 1
Cd1 Cd 0.250 0.250 0.250 1
Te1 Te 0.250 0.250 0.750 1
# - energy (eV per atom) = -2.728
# - formation energy without anion corrections (meV per atom) = -709
# - distance to the lowest polymorph of the same formula (eV/atom) = 0.0824
# - crystal system = cubic



No. 4
# Ca3CdTe (GGA-PBE, optimized geometry)
data_Ca3CdTe
_chemical_formula_sum 'Ca3 Cd1 Te1'
_cell_length_a 5.872
_cell_length_b 5.872
_cell_length_c 5.872
_cell_angle_alpha 90.00
_cell_angle_beta 90.00
_cell_angle_gamma 90.00
_symmetry_space_group_name_H-M 'P m -3 m'
_symmetry_Int_Tables_number 221
_symmetry_space_group_name_Hall '-P 4 2 3'
loop_
_atom_site_label
_atom_site_type_symbol
_atom_site_fract_x
_atom_site_fract_y
_atom_site_fract_z
_atom_site_occupancy
Ca1 Ca 0.000 0.000 0.500 1
Cd1 Cd 0.500 0.500 0.500 1
Te1 Te 0.000 0.000 0.000 1
# - energy (eV per atom) = -2.379
# - formation energy without anion corrections (meV per atom) = -367
# - distance to the lowest polymorph of the same formula (eV/atom) = 0.0000
# - crystal system = cubic



No. 5
# CaCdTe2 (GGA-PBE, optimized geometry)
data_CaCdTe2
_chemical_formula_sum 'Ca1 Cd1 Te2'
_cell_length_a 4.415
_cell_length_b 4.415
_cell_length_c 6.376
_cell_angle_alpha 90.00
_cell_angle_beta 90.00
_cell_angle_gamma 90.00
_symmetry_space_group_name_H-M 'P 4 m m'
_symmetry_Int_Tables_number 99
loop_
_symmetry_equiv_pos_as_xyz
'x,y,z'
'-y,x,z'
'-x,-y,z'
'y,-x,z'
'-x,y,z'
'y,x,z'
'x,-y,z'
'-y,-x,z'
loop_
_atom_site_label
_atom_site_type_symbol
_atom_site_fract_x
_atom_site_fract_y
_atom_site_fract_z
_atom_site_occupancy
Ca1 Ca 0.000 0.000 0.000 1
Cd1 Cd 0.500 0.500 0.458 1
Te1 Te 0.000 0.000 0.500 1
Te2 Te 0.500 0.500 0.988 1
# - energy (eV per atom) = -3.231
# - formation energy without anion corrections (meV per atom) = -931
# - crystal system = tetragonal



No. 6
# CaCdTe3 (GGA-PBE, optimized geometry)
data_CaCdTe3
_chemical_formula_sum 'Ca1 Cd1 Te3'
_cell_length_a 5.615
_cell_length_b 5.615
_cell_length_c 5.615
_cell_angle_alpha 90.00
_cell_angle_beta 90.00
_cell_angle_gamma 90.00
_symmetry_space_group_name_H-M 'P m -3 m'
_symmetry_Int_Tables_number 221
_symmetry_space_group_name_Hall '-P 4 2 3'
loop_
_atom_site_label
_atom_site_type_symbol
_atom_site_fract_x
_atom_site_fract_y
_atom_site_fract_z
_atom_site_occupancy
Ca1 Ca 0.000 0.000 0.000 1
Cd1 Cd 0.500 0.500 0.500 1
Te1 Te 0.000 0.500 0.500 1
# - energy (eV per atom) = -2.642
# - formation energy without anion corrections (meV per atom) = -174
# - distance to the lowest polymorph of the same formula (eV/atom) = 0.0000
# - crystal system = cubic



No. 7
# CaCdTe (GGA-PBE, optimized geometry)
data_CaCdTe
_chemical_formula_sum 'Ca4 Cd4 Te4'
_cell_length_a 7.654
_cell_length_b 7.654
_cell_length_c 7.654
_cell_angle_alpha 90.00
_cell_angle_beta 90.00
_cell_angle_gamma 90.00
_symmetry_space_group_name_H-M 'F -4 3 m'
_symmetry_Int_Tables_number 216
_symmetry_space_group_name_Hall 'F -4 2 3'
loop_
_atom_site_label
_atom_site_type_symbol
_atom_site_fract_x
_atom_site_fract_y
_atom_site_fract_z
_atom_site_occupancy
Ca1 Ca 0.000 0.000 0.000 1
Cd1 Cd 0.000 0.000 0.500 1
Te1 Te 0.250 0.250 0.250 1
# - energy (eV per atom) = -2.539
# - formation energy without anion corrections (meV per atom) = -520
# - distance to the lowest polymorph of the same formula (eV/atom) = 0.2711
# - crystal system = cubic



No. 8
# CaCd2Te (GGA-PBE, optimized geometry)
data_CaCd2Te
_chemical_formula_sum 'Ca4 Cd8 Te4'
_cell_length_a 6.060
_cell_length_b 6.170
_cell_length_c 12.960
_cell_angle_alpha 90.00
_cell_angle_beta 90.00
_cell_angle_gamma 90.00
_symmetry_space_group_name_H-M 'F m m m'
_symmetry_Int_Tables_number 69
_symmetry_space_group_name_Hall '-F 2 2'
loop_
_atom_site_label
_atom_site_type_symbol
_atom_site_fract_x
_atom_site_fract_y
_atom_site_fract_z
_atom_site_occupancy
Ca1 Ca 0.000 0.000 0.000 1
Cd1 Cd 0.250 0.000 0.250 1
Te1 Te 0.000 0.000 0.500 1
# - energy (eV per atom) = -2.318
# - formation energy without anion corrections (meV per atom) = -575
# - crystal system = orthorhombic



No. 9
# CaCd2Te2 (GGA-PBE, optimized geometry)
data_CaCd2Te2
_chemical_formula_sum 'Ca2 Cd4 Te4'
_cell_length_a 5.700
_cell_length_b 5.700
_cell_length_c 9.455
_cell_angle_alpha 90.00
_cell_angle_beta 90.00
_cell_angle_gamma 90.00
_symmetry_space_group_name_H-M 'I 4/m m m'
_symmetry_Int_Tables_number 139
_symmetry_space_group_name_Hall '-I 4 2'
loop_
_atom_site_label
_atom_site_type_symbol
_atom_site_fract_x
_atom_site_fract_y
_atom_site_fract_z
_atom_site_occupancy
Ca1 Ca 0.000 0.000 0.000 1
Cd1 Cd 0.000 0.000 0.358 1
Te1 Te 0.000 0.500 0.250 1
# - energy (eV per atom) = -2.509
# - formation energy without anion corrections (meV per atom) = -486
# - distance to the lowest polymorph of the same formula (eV/atom) = 0.0453
# - crystal system = tetragonal



No. 10
# CaCdTe2 (GGA-PBE, optimized geometry)
data_CaCdTe2
_chemical_formula_sum 'Ca2 Cd2 Te4'
_cell_length_a 4.344
_cell_length_b 4.344
_cell_length_c 12.848
_cell_angle_alpha 90.00
_cell_angle_beta 90.00
_cell_angle_gamma 90.00
_symmetry_space_group_name_H-M 'I -4 m 2'
_symmetry_Int_Tables_number 119
_symmetry_space_group_name_Hall 'I -4 -2'
loop_
_atom_site_label
_atom_site_type_symbol
_atom_site_fract_x
_atom_site_fract_y
_atom_site_fract_z
_atom_site_occupancy
Ca1 Ca 0.000 0.000 0.000 1
Cd1 Cd 0.000 0.500 0.750 1
Te1 Te 0.000 0.000 0.500 1
Te2 Te 0.000 0.500 0.250 1
# - energy (eV per atom) = -2.996
# - formation energy without anion corrections (meV per atom) = -696
# - crystal system = tetragonal



No. 11
# CaCdTe2 (GGA-PBE, optimized geometry)
data_CaCdTe2
_chemical_formula_sum 'Ca2 Cd2 Te4'
_cell_length_a 14.615
_cell_length_b 4.129
_cell_length_c 4.293
_cell_angle_alpha 90.00
_cell_angle_beta 90.01
_cell_angle_gamma 90.00
_symmetry_space_group_name_H-M 'C 1 m 1'
_symmetry_Int_Tables_number 8
loop_
_symmetry_equiv_pos_as_xyz
'x,y,z'
'x,-y,z'
'x+1/2,y+1/2,z'
'x+1/2,-y+1/2,z'
loop_
_atom_site_label
_atom_site_type_symbol
_atom_site_fract_x
_atom_site_fract_y
_atom_site_fract_z
_atom_site_occupancy
Ca1 Ca 0.000 0.000 0.000 1
Cd1 Cd 0.239 0.000 0.497 1
Te1 Te 0.178 0.500 0.998 1
Te2 Te 0.431 0.000 0.500 1
# - energy (eV per atom) = -3.186
# - formation energy without anion corrections (meV per atom) = -886
# - crystal system = monoclinic



No. 12
# CaCdTe2 (GGA-PBE, optimized geometry)
data_CaCdTe2
_chemical_formula_sum 'Ca2 Cd2 Te4'
_cell_length_a 4.524
_cell_length_b 6.729
_cell_length_c 8.281
_cell_angle_alpha 90.00
_cell_angle_beta 90.00
_cell_angle_gamma 90.00
_symmetry_space_group_name_H-M 'I m m m'
_symmetry_Int_Tables_number 71
_symmetry_space_group_name_Hall '-I 2 2'
loop_
_atom_site_label
_atom_site_type_symbol
_atom_site_fract_x
_atom_site_fract_y
_atom_site_fract_z
_atom_site_occupancy
Ca1 Ca 0.000 0.000 0.000 1
Cd1 Cd 0.000 0.000 0.500 1
Te1 Te 0.000 0.500 0.228 1
# - energy (eV per atom) = -2.958
# - formation energy without anion corrections (meV per atom) = -658
# - crystal system = orthorhombic



No. 13
# CaCdTe2 (GGA-PBE, optimized geometry)
data_CaCdTe2
_chemical_formula_sum 'Ca1 Cd1 Te2'
_cell_length_a 4.204
_cell_length_b 4.011
_cell_length_c 7.834
_cell_angle_alpha 90.00
_cell_angle_beta 104.65
_cell_angle_gamma 90.00
_symmetry_space_group_name_H-M 'P 1 2/m 1'
_symmetry_Int_Tables_number 10
loop_
_symmetry_equiv_pos_as_xyz
'x,y,z'
'-x,-y,-z'
'-x,y,-z'
'x,-y,z'
loop_
_atom_site_label
_atom_site_type_symbol
_atom_site_fract_x
_atom_site_fract_y
_atom_site_fract_z
_atom_site_occupancy
Ca1 Ca 0.000 0.000 0.000 1
Cd1 Cd 0.000 0.000 0.500 1
Te1 Te 0.329 0.500 0.764 1
# - energy (eV per atom) = -3.025
# - formation energy without anion corrections (meV per atom) = -725
# - crystal system = monoclinic



No. 14
# CaCdTe2 (GGA-PBE, optimized geometry)
data_CaCdTe2
_chemical_formula_sum 'Ca1 Cd1 Te2'
_cell_length_a 4.122
_cell_length_b 4.540
_cell_length_c 6.660
_cell_angle_alpha 90.00
_cell_angle_beta 90.00
_cell_angle_gamma 90.00
_symmetry_space_group_name_H-M 'P m m m'
_symmetry_Int_Tables_number 47
loop_
_symmetry_equiv_pos_as_xyz
'x,y,z'
'-x,-y,-z'
'-x,-y,z'
'x,y,-z'
'x,-y,-z'
'-x,y,z'
'-x,y,-z'
'x,-y,z'
loop_
_atom_site_label
_atom_site_type_symbol
_atom_site_fract_x
_atom_site_fract_y
_atom_site_fract_z
_atom_site_occupancy
Ca1 Ca 0.000 0.000 0.000 1
Cd1 Cd 0.000 0.500 0.500 1
Te1 Te 0.500 0.000 0.500 1
Te2 Te 0.500 0.500 0.000 1
# - energy (eV per atom) = -2.994
# - formation energy without anion corrections (meV per atom) = -694
# - crystal system = orthorhombic